## Ba2Ga3PbAu4 (GGA-PBE)

Data for a relaxed Ba2Ga3PbAu4 crystal.

electronic total energy = -0.25813 Ry/atom
total magnetic moment = 0.000 μB/atom
symmetry = No. 115
energy of formation from the pure elements = -0.538 eV/atom

Unit cell a=4.8053 b=4.8053 c=10.8506 alpha=90.00 beta=90.00 gamma=90.00
With the nearest neighbours (Å) after each atom.
Positions (direct):
Ga (0.0000, 0.5000, 0.1098)  5 Au 2.61-2.68
Ga (0.5000, 0.0000, 0.8902)  5 Au 2.61-2.68
Ga (0.0000, 0.0000, 0.5000)  4 Au 2.90
Ba (0.0000, 0.5000, 0.7587)  8 Au 3.55-3.60, 7 Ga 3.69-3.81, 2 Pb 3.70
Ba (0.5000, 0.0000, 0.2413)  8 Au 3.55-3.60, 7 Ga 3.69-3.81, 2 Pb 3.70
Au (0.0000, 0.5000, 0.3507)  3 Ga 2.61-2.90, 2 Pb 2.90
Au (0.5000, 0.5000, 0.0000)  4 Ga 2.68
Au (0.0000, 0.0000, 0.0000)  4 Ga 2.68
Au (0.5000, 0.0000, 0.6493)  3 Ga 2.61-2.90, 2 Pb 2.90
Pb (0.5000, 0.5000, 0.5000)  4 Au 2.90